Entry 1:
Compound: LaY2TiN4
Source: Alexandria
Functional: PBE-GGA
Structure: relaxed

a b c (Å): 6.2106 6.2106 11.9146
angles (deg): 90.00 90.00 147.76
With the nearest neighbours (Å) after each atom.
Fractional positions:
1 La 0.0951 0.9049 0.7500  6 N 2.66-2.85
2 La 0.9049 0.0951 0.2500  6 N 2.66-2.85
3 Y 0.3705 0.6295 0.5399  6 N 2.34-2.59
4 Y 0.3705 0.6295 0.9601  6 N 2.34-2.59
5 Y 0.6295 0.3705 0.0399  6 N 2.34-2.59
6 Y 0.6295 0.3705 0.4601  6 N 2.34-2.59
7 Ti 0.1676 0.8324 0.2500  4 N 1.88-2.05
8 Ti 0.8324 0.1676 0.7500  4 N 1.88-2.05
9 N 0.0000 0.0000 0.0000  4 Y 2.36
10 N 0.0000 0.0000 0.5000  4 Y 2.36
11 N 0.2623 0.7377 0.1236  1 Ti 1.88
12 N 0.2623 0.7377 0.3764  1 Ti 1.88
13 N 0.4258 0.5742 0.7500  2 Ti 2.05
14 N 0.5742 0.4258 0.2500  2 Ti 2.05
15 N 0.7377 0.2623 0.6236  1 Ti 1.88
16 N 0.7377 0.2623 0.8764  1 Ti 1.88

Calculated values
**Raw total energy**: -0.652 Ry/atom
**Space-group type**: Cmcm
**Raw formation energy**: -11.899 eV/f.u.
**Magnetic moment**: 0.0 Bohr magnetons per cell



Entry 2:
Compound: Zr2SiHg
Source: Alexandria
Functional: PBE-GGA
Structure: relaxed

a b c (Å): 3.2570 3.2570 8.0684
angles (deg): 90.00 90.00 102.27
With the nearest neighbours (Å) after each atom.
Fractional positions:
1 Zr 0.0000 0.0000 0.0000  4 Hg 3.01-3.36, 6 Zr 3.10-3.26
2 Zr 0.5000 0.5000 0.2896  2 Si 2.65
3 Si 0.0000 0.0000 0.4977  2 Zr 2.65, 2 Hg 2.76
4 Hg 0.5000 0.5000 0.7268  2 Si 2.76, 2 Zr 3.01

Calculated values
**Raw total energy**: -0.422 Ry/atom
**Space-group type**: Cmm2
**Raw formation energy**: -0.166 eV/f.u.
**Magnetic moment**: 0.0 Bohr magnetons per cell



Entry 3:
Compound: MgMnCoNi
Source: Alexandria
Functional: PBE-GGA
Structure: relaxed

a b c (Å): 4.1466 4.1466 4.1466
angles (deg): 60.00 60.00 60.00
With the nearest neighbours (Å) after each atom.
Fractional positions:
1 Mg 0.0000 0.0000 0.0000  4 Co 2.54, 4 Ni 2.54
2 Mn 0.5000 0.5000 0.5000  4 Co 2.54, 4 Ni 2.54
3 Co 0.2500 0.2500 0.2500  4 Mn 2.54, 4 Mg 2.54
4 Ni 0.7500 0.7500 0.7500  4 Mn 2.54, 4 Mg 2.54

Calculated values
**Raw total energy**: -0.435 Ry/atom
**Formation energy from the elements**: 0.000 eV/atom
**Space-group type**: F-43m
**Magnetic moment**: 4.2 Bohr magnetons per cell



Entry 4:
Compound: Tb3YTh2As6
Source: Alexandria
Functional: PBE-GGA
Structure: relaxed

a b c (Å): 9.3384 9.3384 8.3406
angles (deg): 102.84 102.84 25.91
With the nearest neighbours (Å) after each atom.
Fractional positions:
1 Tb 0.0000 0.0000 0.0000  6 As 2.94-2.96
2 Tb 0.3338 0.3338 0.6658  6 As 2.92-2.97
3 Tb 0.6662 0.6662 0.3342  6 As 2.92-2.97
4 Y 0.0000 0.0000 0.5000  6 As 2.95
5 Th 0.3352 0.3352 0.1698  6 As 2.95-3.00
6 Th 0.6648 0.6648 0.8302  6 As 2.95-3.00
7 As 0.1657 0.1657 0.0866  3 Tb 2.94, 3 Th 2.99-3.00
8 As 0.1663 0.1663 0.5785  3 Tb 2.92-2.97, 1 Y 2.95, 2 Th 2.97
9 As 0.4983 0.4983 0.7488  3 Tb 2.92-2.96, 1 Th 2.95, 2 Y 2.95
10 As 0.5017 0.5017 0.2512  3 Tb 2.92-2.96, 1 Th 2.95, 2 Y 2.95
11 As 0.8337 0.8337 0.4215  3 Tb 2.92-2.97, 1 Y 2.95, 2 Th 2.97
12 As 0.8343 0.8343 0.9134  3 Tb 2.94, 3 Th 2.99-3.00

Calculated values
**Raw total energy**: -0.497 Ry/atom
**Formation energy from the elements**: -1.506 eV/atom
**Space-group type**: C2/m
**Magnetic moment**: 0.0 Bohr magnetons per cell



Entry 5:
Compound: KSn12
Source: Alexandria
Functional: PBE-GGA
Structure: relaxed

a b c (Å): 9.0216 9.0216 9.0216
angles (deg): 60.00 60.00 60.00
With the nearest neighbours (Å) after each atom.
Fractional positions:
1 K 0.0000 0.0000 0.0000  24 Sn 4.74
2 Sn 0.1607 0.5000 0.5000  5 Sn 2.90-3.06
3 Sn 0.1607 0.5000 0.8393  5 Sn 2.90-3.06
4 Sn 0.1607 0.8393 0.5000  5 Sn 2.90-3.06
5 Sn 0.5000 0.1607 0.5000  5 Sn 2.90-3.06
6 Sn 0.5000 0.1607 0.8393  5 Sn 2.90-3.06
7 Sn 0.5000 0.5000 0.1607  5 Sn 2.90-3.06
8 Sn 0.5000 0.5000 0.8393  5 Sn 2.90-3.06
9 Sn 0.5000 0.8393 0.1607  5 Sn 2.90-3.06
10 Sn 0.5000 0.8393 0.5000  5 Sn 2.90-3.06
11 Sn 0.8393 0.1607 0.5000  5 Sn 2.90-3.06
12 Sn 0.8393 0.5000 0.1607  5 Sn 2.90-3.06
13 Sn 0.8393 0.5000 0.5000  5 Sn 2.90-3.06

Calculated values
**Raw total energy**: -0.263 Ry/atom
**Formation energy from the elements**: 0.200 eV/atom
**Space-group type**: Fm-3m
**Magnetic moment**: 0.0 Bohr magnetons per cell



Entry 6:
Compound: KInHg2Au
Source: Alexandria
Functional: PBE-GGA
Structure: relaxed

a b c (Å): 7.1077 7.1077 7.1077
angles (deg): 141.32 139.27 57.43
With the nearest neighbours (Å) after each atom.
Fractional positions:
1 K 0.0000 0.0000 0.0000  8 Hg 3.67-4.11, 4 Au 3.71, 4 In 3.90-3.98
2 In 0.2578 0.7578 0.5000  2 Au 2.84, 2 Hg 3.10
3 Hg 0.6086 0.6086 0.0000  1 Au 2.79, 2 Hg 3.05, 2 In 3.10
4 Hg 0.7636 0.2636 0.5000  2 Au 2.90, 2 Hg 3.05
5 Au 0.3846 0.3846 0.0000  3 Hg 2.79-2.90, 2 In 2.84

Calculated values
**Raw total energy**: -0.129 Ry/atom
**Formation energy from the elements**: -0.213 eV/atom
**Space-group type**: Imm2
**Magnetic moment**: 0.0 Bohr magnetons per cell



Number 1: DOS at the Fermi energy 0.376 states/eV per atom. Number 2: DOS at the Fermi energy 0.932 states/eV per atom. Number 3: DOS at the Fermi energy 0.555 states/eV per atom. Number 4: DOS at the Fermi energy 0.333 states/eV per atom. Number 5: DOS at the Fermi energy 0.835 states/eV per atom. Number 6: DOS at the Fermi energy 0.378 states/eV per atom.